(1)
DFT (PBE-GGA) results for BaTeN2F after structural relaxation.

Computed properties:
E_form (uncorrected)   1.29 eV per atom
Total magnetization   7.0 μB per cell
DOS at the Fermi energy   6.0 states/eV/f.u.

a = 5.382 Å, b = 5.382 Å, c = 7.163 Å
α = 90.00°, β = 90.00°, γ = 90.00°
Atoms (fractional coordinates):
Te  0.000  0.000  0.500
N  0.500  0.000  0.000
F  0.500  0.500  0.500
Ba  0.000  0.000  0.000
N  0.000  0.500  0.000


(2)
DFT (PBE-GGA) results for BaTeN2F after structural relaxation.

Computed properties:
E_form (uncorrected)   0.95 eV per atom
Total magnetization   0.3 μB per cell
DOS at the Fermi energy   3.2 states/eV/f.u.

a = 4.803 Å, b = 4.803 Å, c = 4.721 Å
α = 90.00°, β = 90.00°, γ = 90.00°
Atoms (fractional coordinates):
F  0.000  0.000  0.500
N  0.000  0.500  0.000
N  0.500  0.000  0.000
Ba  0.000  0.000  0.000
Te  0.500  0.500  0.500


(3)
DFT (PBE-GGA) results for BaTe2NF after structural relaxation.

Computed properties:
E_form (uncorrected)   -0.05 eV per atom
Total magnetization   2.3 μB per cell
DOS at the Fermi energy   2.8 states/eV/f.u.

a = 4.814 Å, b = 4.814 Å, c = 5.614 Å
α = 90.00°, β = 90.00°, γ = 90.00°
Atoms (fractional coordinates):
F  0.000  0.000  0.000
N  0.000  0.000  0.500
Ba  0.500  0.500  0.500
Te  0.000  0.500  0.000
Te  0.500  0.000  0.000